[1]
TiSbF2: single point on PBEsol structure, meta-GGA SCAN.

- Crystal system: cubic
- DOS at the Fermi energy: 0.51 states/eV per atom

CIF file:
```
data_TiSbF2
_chemical_formula_sum 'Ti1 Sb1 F2'
_space_group_name_H-M_alt 'P 1'
_space_group_IT_number 1
_space_group_name_Hall 'P 1'
_cell_length_a 4.318
_cell_length_b 4.318
_cell_length_c 4.318
_cell_angle_alpha 60.00
_cell_angle_beta 60.00
_cell_angle_gamma 60.00
loop_
_atom_site_label
_atom_site_fract_x
_atom_site_fract_y
_atom_site_fract_z
Sb1 0.500 0.500 0.500
F1 0.250 0.250 0.250
F2 0.750 0.750 0.750
Ti1 0.000 0.000 0.000
```

***

[2]
BeSeBr2Cl: single point on PBEsol structure, meta-GGA SCAN.

- Crystal system: tetragonal
- Offset from the most stable computed form: 924 meV/atom
- DOS at the Fermi energy: 0.64 states/eV per atom

CIF file:
```
data_BeSeBr2Cl
_chemical_formula_sum 'Be1 Se1 Br2 Cl1'
_space_group_name_H-M_alt 'P 1'
_space_group_IT_number 1
_space_group_name_Hall 'P 1'
_cell_length_a 4.995
_cell_length_b 5.124
_cell_length_c 5.124
_cell_angle_alpha 90.00
_cell_angle_beta 90.00
_cell_angle_gamma 90.00
loop_
_atom_site_label
_atom_site_fract_x
_atom_site_fract_y
_atom_site_fract_z
Be1 0.500 0.500 0.500
Se1 0.500 0.000 0.000
Br1 0.000 0.000 0.500
Br2 0.000 0.500 0.000
Cl1 0.000 0.000 0.000
```

***

[3]
Te2AsP: single point on PBEsol structure, meta-GGA SCAN.

- Crystal system: cubic
- Offset from the most stable computed form: 0 meV/atom
- DOS at the Fermi energy: 0.76 states/eV per atom

CIF file:
```
data_Te2AsP
_chemical_formula_sum 'Te2 As1 P1'
_space_group_name_H-M_alt 'P 1'
_space_group_IT_number 1
_space_group_name_Hall 'P 1'
_cell_length_a 4.940
_cell_length_b 4.940
_cell_length_c 4.940
_cell_angle_alpha 60.00
_cell_angle_beta 60.00
_cell_angle_gamma 60.00
loop_
_atom_site_label
_atom_site_fract_x
_atom_site_fract_y
_atom_site_fract_z
P1 0.500 0.500 0.500
As1 0.000 0.000 0.000
Te1 0.250 0.250 0.250
Te2 0.750 0.750 0.750
```

***

| no. | magnetic moment (Bohr magnetons per cell) | raw formation energy (eV per formula unit) | calculated density (Mg/m³) |
| --- | --- | --- | --- |
| 1 | 0.00 | -4.21 | 6.05 |
| 2 | 0.80 | 5.17 | 3.59 |
| 3 | 0.00 | 2.34 | 7.03 |